No. 1
# Ba3TlH meta-GGA SCAN PBEsol geometry
data_Ba3TlH
_chemical_formula_sum 'Ba3 Tl1 H1'
_symmetry_space_group_name_H-M 'P 1'
_symmetry_Int_Tables_number 1
_cell_length_a 5.512
_cell_length_b 5.512
_cell_length_c 5.512
_cell_angle_alpha 90.00
_cell_angle_beta 90.00
_cell_angle_gamma 90.00
loop_
_symmetry_equiv_pos_as_xyz
'x,y,z'
loop_
_atom_site_label
_atom_site_type_symbol
_atom_site_fract_x
_atom_site_fract_y
_atom_site_fract_z
Ba1 Ba 0.500 0.000 0.000
Ba2 Ba 0.000 0.500 0.000
Ba3 Ba 0.000 0.000 0.500
Tl1 Tl 0.500 0.500 0.500
H1 H 0.000 0.000 0.000
# total magnetic moment: 0.00 μB per cell
# calculated total energy: -196.39 eV/cell
# space group: Pm-3m, No. 221


No. 2
# BaTl2H2 meta-GGA SCAN PBEsol geometry
data_BaTl2H2
_chemical_formula_sum 'Ba1 Tl2 H2'
_symmetry_space_group_name_H-M 'P 1'
_symmetry_Int_Tables_number 1
_cell_length_a 4.674
_cell_length_b 4.674
_cell_length_c 5.920
_cell_angle_alpha 113.25
_cell_angle_beta 113.25
_cell_angle_gamma 90.00
loop_
_symmetry_equiv_pos_as_xyz
'x,y,z'
loop_
_atom_site_label
_atom_site_type_symbol
_atom_site_fract_x
_atom_site_fract_y
_atom_site_fract_z
Ba1 Ba 0.000 0.000 0.000
Tl1 Tl 0.661 0.661 0.322
H1 H 0.250 0.750 0.500
Tl2 Tl 0.339 0.339 0.678
H2 H 0.750 0.250 0.500
# total magnetic moment: 0.00 μB per cell
# calculated total energy: -190.55 eV/cell
# space group: I4/mmm, No. 139


No. 3
# BaYZn2H meta-GGA SCAN PBEsol geometry
data_BaYZn2H
_chemical_formula_sum 'Ba1 Y1 Zn2 H1'
_symmetry_space_group_name_H-M 'P 1'
_symmetry_Int_Tables_number 1
_cell_length_a 5.749
_cell_length_b 5.749
_cell_length_c 6.308
_cell_angle_alpha 90.00
_cell_angle_beta 90.00
_cell_angle_gamma 90.00
loop_
_symmetry_equiv_pos_as_xyz
'x,y,z'
loop_
_atom_site_label
_atom_site_type_symbol
_atom_site_fract_x
_atom_site_fract_y
_atom_site_fract_z
Ba1 Ba 0.000 0.000 0.000
H1 H 0.500 0.500 0.500
Zn1 Zn 0.000 0.500 0.000
Y1 Y 0.000 0.000 0.500
Zn2 Zn 0.500 0.000 0.000
# total magnetic moment: 0.00 μB per cell
# calculated total energy: -89.97 eV/cell
# space group: P4/mmm, No. 123


No. 4
# BaZn2H meta-GGA SCAN PBEsol geometry
data_BaZn2H
_chemical_formula_sum 'Ba2 Zn4 H2'
_symmetry_space_group_name_H-M 'P 1'
_symmetry_Int_Tables_number 1
_cell_length_a 6.019
_cell_length_b 6.019
_cell_length_c 6.019
_cell_angle_alpha 60.00
_cell_angle_beta 60.00
_cell_angle_gamma 60.00
loop_
_symmetry_equiv_pos_as_xyz
'x,y,z'
loop_
_atom_site_label
_atom_site_type_symbol
_atom_site_fract_x
_atom_site_fract_y
_atom_site_fract_z
H1 H 0.750 0.750 0.750
Ba1 Ba 0.000 0.000 0.000
Zn1 Zn 0.625 0.625 0.625
Ba2 Ba 0.250 0.250 0.250
Zn2 Zn 0.125 0.625 0.625
Zn3 Zn 0.625 0.125 0.625
H2 H 0.500 0.500 0.500
Zn4 Zn 0.625 0.625 0.125
# total magnetic moment: 0.00 μB per cell
# calculated total energy: -138.78 eV/cell
# space group: Fd-3m, No. 227